A.
Here is crystalline Ba2CrRu at its relaxed geometry from the Alexandria database. Energies are from PBEsol. Values from VASP.

Geometry as Quantum ESPRESSO input:
```
&SYSTEM
  ibrav = 0, nat = 4, ntyp = 3
/
ATOMIC_SPECIES
Ba 137.33 Ba.upf
Cr 52.00 Cr.upf
Ru 101.07 Ru.upf
ATOMIC_POSITIONS crystal
Ba 0.261 0.261 0.216
Ba 0.739 0.739 0.784
Cr 0.500 0.500 0.500
Ru 0.000 0.000 0.000
CELL_PARAMETERS angstrom
-2.510 2.250 1.391
-2.930 0.906 -1.973
-6.780 -6.816 3.568
```

Summary:
DOS(E_F) ... 3.52 states/eV/f.u.
Space-group type ... R-3m

B.
Here is crystalline Ba2CrRu at its relaxed geometry from the Alexandria database. Energies are from PBEsol. Values from VASP.

Geometry as Quantum ESPRESSO input:
```
&SYSTEM
  ibrav = 0, nat = 4, ntyp = 3
/
ATOMIC_SPECIES
Ba 137.33 Ba.upf
Cr 52.00 Cr.upf
Ru 101.07 Ru.upf
ATOMIC_POSITIONS crystal
Ba 0.000 0.000 0.000
Ba 0.250 0.250 0.250
Cr 0.500 0.500 0.500
Ru 0.750 0.750 0.750
CELL_PARAMETERS angstrom
-4.978 -1.603 -0.369
-2.422 -2.019 4.189
-3.808 2.704 2.383
```

Summary:
DOS(E_F) ... 6.16 states/eV/f.u.
Space-group type ... F-43m

Most favorable structure: B. The second most favorable one is 14.8 kJ/mol of atoms above it.

A.
Here is crystalline BaScCr at its relaxed geometry from the Alexandria database. Energies are from PBEsol. Values from VASP.

Geometry as Quantum ESPRESSO input:
```
&SYSTEM
  ibrav = 0, nat = 3, ntyp = 3
/
ATOMIC_SPECIES
Ba 137.33 Ba.upf
Cr 52.00 Cr.upf
Sc 44.96 Sc.upf
ATOMIC_POSITIONS crystal
Ba 0.250 0.250 0.250
Cr 0.000 0.000 0.000
Sc 0.500 0.500 0.500
CELL_PARAMETERS angstrom
5.013 0.000 0.000
2.506 4.341 0.000
2.506 1.447 4.093
```

Summary:
DOS(E_F) ... 3.03 states/eV/f.u.
Space-group type ... F-43m

B.
Here is crystalline BaScCr at its relaxed geometry from the Alexandria database. Energies are from PBEsol. Values from VASP.

Geometry as Quantum ESPRESSO input:
```
&SYSTEM
  ibrav = 0, nat = 3, ntyp = 3
/
ATOMIC_SPECIES
Ba 137.33 Ba.upf
Cr 52.00 Cr.upf
Sc 44.96 Sc.upf
ATOMIC_POSITIONS crystal
Ba 0.000 0.000 0.972
Cr 0.333 0.667 0.640
Sc 0.667 0.333 0.389
CELL_PARAMETERS angstrom
3.438 0.000 0.000
-1.719 2.977 0.000
0.000 0.000 7.763
```

Summary:
DOS(E_F) ... 3.75 states/eV/f.u.
Space-group type ... P3m1

Most favorable structure: B. The second most favorable one is 61.6 kJ/mol of atoms above it.

A.
Here is crystalline BaTaCr2 at its relaxed geometry from the Alexandria database. Energies are from PBEsol. Values from VASP.

Geometry as Quantum ESPRESSO input:
```
&SYSTEM
  ibrav = 0, nat = 4, ntyp = 3
/
ATOMIC_SPECIES
Ba 137.33 Ba.upf
Cr 52.00 Cr.upf
Ta 180.95 Ta.upf
ATOMIC_POSITIONS crystal
Ba 0.500 0.000 0.000
Cr 0.000 0.000 0.500
Cr 0.000 0.500 0.000
Ta 0.500 0.500 0.500
CELL_PARAMETERS angstrom
-2.160 1.203 -1.914
-3.635 -1.422 3.208
0.363 4.441 2.381
```

Summary:
DOS(E_F) ... 4.63 states/eV/f.u.
Space-group type ... P4/mmm

B.
Here is crystalline BaTaCr2 at its relaxed geometry from the Alexandria database. Energies are from PBEsol. Values from VASP.

Geometry as Quantum ESPRESSO input:
```
&SYSTEM
  ibrav = 0, nat = 4, ntyp = 3
/
ATOMIC_SPECIES
Ba 137.33 Ba.upf
Cr 52.00 Cr.upf
Ta 180.95 Ta.upf
ATOMIC_POSITIONS crystal
Ba 0.000 0.000 0.000
Cr 0.233 0.233 0.300
Cr 0.767 0.767 0.700
Ta 0.500 0.500 0.500
CELL_PARAMETERS angstrom
-1.423 -2.380 1.507
-1.995 -1.887 -1.557
5.813 -6.964 -2.206
```

Summary:
DOS(E_F) ... 4.35 states/eV/f.u.
Space-group type ... R-3m

Most favorable structure: B. The second most favorable one is 20.5 kJ/mol of atoms above it.

A.
Here is crystalline BaCr2W at its relaxed geometry from the Alexandria database. Energies are from PBEsol. Values from VASP.

Geometry as Quantum ESPRESSO input:
```
&SYSTEM
  ibrav = 0, nat = 4, ntyp = 3
/
ATOMIC_SPECIES
Ba 137.33 Ba.upf
Cr 52.00 Cr.upf
W 183.84 W.upf
ATOMIC_POSITIONS crystal
Ba 0.558 0.500 0.760
Cr 0.051 0.000 0.108
Cr 0.453 0.500 0.236
W 0.937 0.000 0.396
CELL_PARAMETERS angstrom
-0.526 1.316 2.623
-2.261 -2.582 0.842
5.786 -4.373 2.125
```

Summary:
DOS(E_F) ... 4.45 states/eV/f.u.
Space-group type ... Pm

B.
Here is crystalline BaCr2W at its relaxed geometry from the Alexandria database. Energies are from PBEsol. Values from VASP.

Geometry as Quantum ESPRESSO input:
```
&SYSTEM
  ibrav = 0, nat = 4, ntyp = 3
/
ATOMIC_SPECIES
Ba 137.33 Ba.upf
Cr 52.00 Cr.upf
W 183.84 W.upf
ATOMIC_POSITIONS crystal
Ba 0.000 0.500 0.500
Cr 0.903 0.000 0.863
Cr 0.097 0.000 0.137
W 0.500 0.500 0.000
CELL_PARAMETERS angstrom
2.920 0.000 0.242
0.000 3.981 0.000
-0.669 0.000 6.930
```

Summary:
DOS(E_F) ... 3.92 states/eV/f.u.
Space-group type ... P2/m

Most favorable structure: B. The second most favorable one is 5.5 kJ/mol of atoms above it.

A.
Here is crystalline BaCr2W at its relaxed geometry from the Alexandria database. Energies are from PBEsol. Values from VASP.

Geometry as Quantum ESPRESSO input:
```
&SYSTEM
  ibrav = 0, nat = 4, ntyp = 3
/
ATOMIC_SPECIES
Ba 137.33 Ba.upf
Cr 52.00 Cr.upf
W 183.84 W.upf
ATOMIC_POSITIONS crystal
Ba 0.301 0.801 0.601
Cr 0.025 0.025 0.050
Cr 0.638 0.138 0.276
W 0.537 0.537 0.073
CELL_PARAMETERS angstrom
3.056 0.000 0.000
0.000 4.239 0.000
-1.528 -2.120 6.593
```

Summary:
DOS(E_F) ... 4.99 states/eV/f.u.
Space-group type ... Imm2

B.
Here is crystalline BaCr2W at its relaxed geometry from the Alexandria database. Energies are from PBEsol. Values from VASP.

Geometry as Quantum ESPRESSO input:
```
&SYSTEM
  ibrav = 0, nat = 4, ntyp = 3
/
ATOMIC_SPECIES
Ba 137.33 Ba.upf
Cr 52.00 Cr.upf
W 183.84 W.upf
ATOMIC_POSITIONS crystal
Ba 0.000 0.000 0.500
Cr 0.779 0.558 0.892
Cr 0.221 0.442 0.108
W 0.500 0.000 0.000
CELL_PARAMETERS angstrom
-1.482 -2.659 -0.495
1.786 -0.019 4.365
-5.571 2.913 1.032
```

Summary:
DOS(E_F) ... 4.60 states/eV/f.u.
Space-group type ... C2/m

Most favorable structure: B. The second most favorable one is 5.5 kJ/mol of atoms above it.

A.
Here is crystalline BaZrCr3 at its relaxed geometry from the Alexandria database. Energies are from PBEsol. Values from VASP.

Geometry as Quantum ESPRESSO input:
```
&SYSTEM
  ibrav = 0, nat = 5, ntyp = 3
/
ATOMIC_SPECIES
Cr 52.00 Cr.upf
Ba 137.33 Ba.upf
Zr 91.22 Zr.upf
ATOMIC_POSITIONS crystal
Cr 0.000 0.500 0.000
Cr 0.000 0.000 0.500
Cr 0.500 0.000 0.000
Ba 0.000 0.000 0.000
Zr 0.500 0.500 0.500
CELL_PARAMETERS angstrom
-4.427 -1.876 0.387
0.869 -2.835 -3.804
1.707 -3.422 2.940
```

Summary:
DOS(E_F) ... 6.37 states/eV/f.u.
Space-group type ... Pm-3m

B.
Here is crystalline BaZrCr3 at its relaxed geometry from the Alexandria database. Energies are from PBEsol. Values from VASP.

Geometry as Quantum ESPRESSO input:
```
&SYSTEM
  ibrav = 0, nat = 5, ntyp = 3
/
ATOMIC_SPECIES
Cr 52.00 Cr.upf
Ba 137.33 Ba.upf
Zr 91.22 Zr.upf
ATOMIC_POSITIONS crystal
Cr 0.000 0.500 0.000
Cr 0.000 0.000 0.500
Cr 0.500 0.000 0.000
Ba 0.500 0.500 0.500
Zr 0.000 0.000 0.000
CELL_PARAMETERS angstrom
-0.515 4.941 0.287
-2.341 -0.498 4.362
4.360 0.316 2.376
```

Summary:
DOS(E_F) ... 3.13 states/eV/f.u.
Space-group type ... Pm-3m

Most favorable structure: B. The second most favorable one is 91.5 kJ/mol of atoms above it.

A.
Here is crystalline Ba2CuF6 at its relaxed geometry from the Alexandria database. Energies are from PBEsol. Values from VASP.

Geometry as Quantum ESPRESSO input:
```
&SYSTEM
  ibrav = 0, nat = 9, ntyp = 3
/
ATOMIC_SPECIES
Ba 137.33 Ba.upf
Cu 63.55 Cu.upf
F 19.00 F.upf
ATOMIC_POSITIONS crystal
Ba 0.852 0.852 0.704
Ba 0.148 0.148 0.296
Cu 0.500 0.500 0.000
F 0.621 0.621 0.242
F 0.000 0.500 0.000
F 0.500 0.000 0.000
F 0.379 0.379 0.758
F 0.750 0.250 0.500
F 0.250 0.750 0.500
CELL_PARAMETERS angstrom
4.123 0.000 0.000
0.000 4.123 0.000
-2.062 -2.062 7.780
```

Summary:
DOS(E_F) ... 0.80 states/eV/f.u.
Space-group type ... I4/mmm

B.
Here is crystalline Ba2CuF6 at its relaxed geometry from the Alexandria database. Energies are from PBEsol. Values from VASP.

Geometry as Quantum ESPRESSO input:
```
&SYSTEM
  ibrav = 0, nat = 18, ntyp = 3
/
ATOMIC_SPECIES
Ba 137.33 Ba.upf
Cu 63.55 Cu.upf
F 19.00 F.upf
ATOMIC_POSITIONS crystal
Ba 0.350 0.500 0.701
Ba 0.150 0.000 0.299
Ba 0.650 0.500 0.299
Ba 0.850 0.000 0.701
Cu 0.000 0.500 0.000
Cu 0.500 0.000 0.000
F 0.120 0.500 0.239
F 0.380 0.000 0.761
F 0.880 0.500 0.761
F 0.620 0.000 0.239
F 0.286 0.674 0.000
F 0.214 0.174 0.000
F 0.002 0.250 0.500
F 0.498 0.750 0.500
F 0.998 0.750 0.500
F 0.502 0.250 0.500
F 0.714 0.326 0.000
F 0.786 0.826 0.000
CELL_PARAMETERS angstrom
5.797 0.000 0.000
0.000 5.881 0.000
-2.899 0.000 7.874
```

Summary:
Space-group type ... Cmce

Most favorable structure: B. The second most favorable one is 0.7 kJ/mol of atoms above it.